# ErHfZnTc, optimized geometry, DFT PBE-GGA
# ΔH_f (0 K) in eV per atom: -0.2238
# Total energy in eV per atom: -6.763
data_ErHfZnTc
_symmetry_space_group_name_H-M 'P 1'
_symmetry_Int_Tables_number 1
_symmetry_space_group_name_Hall 'P 1'
_cell_length_a 4.764
_cell_length_b 4.764
_cell_length_c 4.764
_cell_angle_alpha 60.00
_cell_angle_beta 60.00
_cell_angle_gamma 60.00
loop_
_atom_site_label
_atom_site_type_symbol
_atom_site_fract_x
_atom_site_fract_y
_atom_site_fract_z
Er1 Er 0.000 0.000 0.000
Hf1 Hf 0.500 0.500 0.500
Zn1 Zn 0.750 0.750 0.750
Tc1 Tc 0.250 0.250 0.250

---

# SrZnCr2, optimized geometry, DFT PBE-GGA
# ΔH_f (0 K) in eV per atom: 0.3092
# Total energy in eV per atom: -5.241
data_SrZnCr2
_symmetry_space_group_name_H-M 'P 1'
_symmetry_Int_Tables_number 1
_symmetry_space_group_name_Hall 'P 1'
_cell_length_a 6.290
_cell_length_b 6.290
_cell_length_c 6.290
_cell_angle_alpha 39.87
_cell_angle_beta 39.87
_cell_angle_gamma 39.87
loop_
_atom_site_label
_atom_site_type_symbol
_atom_site_fract_x
_atom_site_fract_y
_atom_site_fract_z
Sr1 Sr 0.000 0.000 0.000
Zn1 Zn 0.197 0.197 0.197
Cr1 Cr 0.480 0.480 0.480
Cr2 Cr 0.807 0.807 0.807

---

# La8Ga2Hg, optimized geometry, DFT PBE-GGA
# ΔH_f (0 K) in eV per atom: -0.3000
# Total energy in eV per atom: -4.461
# E above lowest polymorph in meV/atom: 0
data_La8Ga2Hg
_symmetry_space_group_name_H-M 'P 1'
_symmetry_Int_Tables_number 1
_symmetry_space_group_name_Hall 'P 1'
_cell_length_a 9.605
_cell_length_b 9.605
_cell_length_c 7.955
_cell_angle_alpha 110.84
_cell_angle_beta 110.84
_cell_angle_gamma 30.52
loop_
_atom_site_label
_atom_site_type_symbol
_atom_site_fract_x
_atom_site_fract_y
_atom_site_fract_z
La1 La 0.021 0.021 0.255
La2 La 0.199 0.199 0.801
La3 La 0.330 0.330 0.546
La4 La 0.411 0.411 0.040
La5 La 0.589 0.589 0.960
La6 La 0.670 0.670 0.454
La7 La 0.801 0.801 0.199
La8 La 0.979 0.979 0.745
Ga1 Ga 0.182 0.182 0.186
Ga2 Ga 0.818 0.818 0.814
Hg1 Hg 0.500 0.500 0.500

---

# AlSiSe2, optimized geometry, DFT PBE-GGA
# Total energy in eV per atom: -3.678
# E above lowest polymorph in meV/atom: 724
# Uncorrected formation energy in kJ/mol of formula units: 137
data_AlSiSe2
_symmetry_space_group_name_H-M 'P 1'
_symmetry_Int_Tables_number 1
_symmetry_space_group_name_Hall 'P 1'
_cell_length_a 2.991
_cell_length_b 4.918
_cell_length_c 5.207
_cell_angle_alpha 90.00
_cell_angle_beta 99.71
_cell_angle_gamma 90.00
loop_
_atom_site_label
_atom_site_type_symbol
_atom_site_fract_x
_atom_site_fract_y
_atom_site_fract_z
Al1 Al 0.000 0.000 0.000
Si1 Si 0.500 0.000 0.500
Se1 Se 0.265 0.500 0.747
Se2 Se 0.735 0.500 0.253

---

# TmNi5Pb, optimized geometry, DFT PBE-GGA
# ΔH_f (0 K) in eV per atom: -0.2307
# Total energy in eV per atom: -5.529
data_TmNi5Pb
_symmetry_space_group_name_H-M 'P 1'
_symmetry_Int_Tables_number 1
_symmetry_space_group_name_Hall 'P 1'
_cell_length_a 8.104
_cell_length_b 4.876
_cell_length_c 10.384
_cell_angle_alpha 90.00
_cell_angle_beta 90.00
_cell_angle_gamma 90.00
loop_
_atom_site_label
_atom_site_type_symbol
_atom_site_fract_x
_atom_site_fract_y
_atom_site_fract_z
Tm1 Tm 0.243 0.250 0.064
Tm2 Tm 0.257 0.750 0.564
Tm3 Tm 0.743 0.250 0.436
Tm4 Tm 0.757 0.750 0.936
Ni1 Ni 0.051 0.250 0.606
Ni2 Ni 0.068 0.001 0.813
Ni3 Ni 0.068 0.499 0.813
Ni4 Ni 0.080 0.750 0.017
Ni5 Ni 0.188 0.750 0.238
Ni6 Ni 0.312 0.250 0.738
Ni7 Ni 0.420 0.250 0.517
Ni8 Ni 0.432 0.501 0.313
Ni9 Ni 0.432 0.999 0.313
Ni10 Ni 0.449 0.750 0.106
Ni11 Ni 0.551 0.250 0.894
Ni12 Ni 0.568 0.001 0.687
Ni13 Ni 0.568 0.499 0.687
Ni14 Ni 0.580 0.750 0.483
Ni15 Ni 0.688 0.750 0.262
Ni16 Ni 0.812 0.250 0.762
Ni17 Ni 0.920 0.250 0.983
Ni18 Ni 0.932 0.501 0.187
Ni19 Ni 0.932 0.999 0.187
Ni20 Ni 0.949 0.750 0.394
Pb1 Pb 0.136 0.250 0.365
Pb2 Pb 0.364 0.750 0.865
Pb3 Pb 0.636 0.250 0.135
Pb4 Pb 0.864 0.750 0.635

---

# LaGa2NiRh, optimized geometry, DFT PBE-GGA
# ΔH_f (0 K) in eV per atom: -0.6611
# Total energy in eV per atom: -5.484
data_LaGa2NiRh
_symmetry_space_group_name_H-M 'P 1'
_symmetry_Int_Tables_number 1
_symmetry_space_group_name_Hall 'P 1'
_cell_length_a 6.073
_cell_length_b 6.073
_cell_length_c 6.073
_cell_angle_alpha 139.70
_cell_angle_beta 139.70
_cell_angle_gamma 58.30
loop_
_atom_site_label
_atom_site_type_symbol
_atom_site_fract_x
_atom_site_fract_y
_atom_site_fract_z
La1 La 0.000 0.000 0.000
Ga1 Ga 0.372 0.372 0.000
Ga2 Ga 0.628 0.628 0.000
Ni1 Ni 0.250 0.750 0.500
Rh1 Rh 0.750 0.250 0.500